Entry 1:
Density functional theory data (PBE-GGA) for crystalline Pm6HgRu2 at its relaxed geometry.

```
Pm6HgRu2
1.0
-2.819 -0.266 -8.190
8.461 1.775 0.595
-0.851 -7.702 3.880
Pm Hg Ru
12 2 4
direct
0.533 0.715 0.818
0.467 0.285 0.182
0.103 0.285 0.818
0.897 0.715 0.182
0.799 0.763 0.561
0.201 0.237 0.439
0.201 0.763 0.964
0.799 0.237 0.036
0.688 0.360 0.672
0.312 0.640 0.328
0.312 0.984 0.672
0.688 0.016 0.328
0.000 0.500 0.500
0.000 0.000 0.000
0.500 0.375 0.875
0.500 0.625 0.125
0.673 0.000 0.673
0.327 0.000 0.327
```

Calculated values
M_tot   0.000 μB per cell
Excess energy over the best structure of this formula in the dataset   0.0 meV/atom

---

Entry 2:
Density functional theory data (PBE-GGA) for crystalline ScTlCl4 at its relaxed geometry.

```
ScTlCl4
1.0
3.867 -0.004 -0.001
-1.931 5.999 -1.756
0.002 -0.181 8.057
Sc Tl Cl
1 1 4
direct
0.000 0.000 0.000
0.500 0.000 0.500
0.877 0.755 0.699
0.123 0.245 0.301
0.386 0.772 0.073
0.614 0.228 0.927
```

Calculated values
M_tot   0.000 μB per cell
Raw formation energy   -1.73 eV/atom
Excess energy over the best structure of this formula in the dataset   8.0 meV/atom

---

Entry 3:
Density functional theory data (PBE-GGA) for crystalline HoZn5Ni2 at its relaxed geometry.

```
HoZn5Ni2
1.0
3.707 0.000 0.000
1.854 5.923 -0.240
1.854 1.553 5.721
Ho Zn Ni
1 5 2
direct
0.000 0.000 0.000
0.000 0.500 0.500
0.653 0.535 0.159
0.347 0.465 0.841
0.347 0.841 0.465
0.653 0.159 0.535
0.736 0.764 0.764
0.264 0.236 0.236
```

Calculated values
M_tot   0.000 μB per cell
Raw total energy   -24.66 eV per cell

---

Entry 4:
Density functional theory data (PBE-GGA) for crystalline Tl2VReCl at its relaxed geometry.

```
Tl2VReCl
1.0
5.455 0.000 0.000
0.000 4.592 0.000
0.000 0.000 5.455
Re Tl Cl V
1 2 1 1
direct
0.000 0.000 0.000
0.000 0.000 0.500
0.500 0.000 0.000
0.500 0.500 0.500
0.000 0.500 0.000
```

Calculated values
M_tot   1.205 μB per cell
Raw formation energy   0.61 eV/atom

---

Entry 5:
Density functional theory data (PBE-GGA) for crystalline CsSiSe2N at its relaxed geometry.

```
CsSiSe2N
1.0
-5.637 -0.420 2.002
1.624 -4.487 3.631
0.678 2.156 2.361
Cs Si Se N
1 1 2 1
direct
0.500 0.500 0.500
0.000 0.000 0.000
0.000 0.500 0.000
0.500 0.000 0.000
0.000 0.000 0.500
```

Calculated values
M_tot   0.000 μB per cell
Raw formation energy   0.02 eV/atom
Excess energy over the best structure of this formula in the dataset   0.0 meV/atom

---

Entry 6:
Density functional theory data (PBE-GGA) for crystalline BeNi2Ag2 at its relaxed geometry.

```
BeNi2Ag2
1.0
-1.732 4.420 2.992
-5.237 -2.016 -0.053
0.791 -2.153 3.638
Ni Ag Be
4 4 2
direct
0.356 0.856 0.000
0.856 0.644 0.000
0.644 0.144 0.000
0.144 0.356 0.000
0.175 0.675 0.500
0.675 0.825 0.500
0.825 0.325 0.500
0.325 0.175 0.500
0.000 0.000 0.000
0.500 0.500 0.000
```

Calculated values
M_tot   0.000 μB per cell
Raw total energy   -40.37 eV per cell